Record 1
This record from Alexandria via LeMat-Bulk describes a relaxed La3PmSc crystal. The functional is PBE-GGA.

Calculated values
The formation enthalpy at 0 K is 0.084 eV/atom. For the total energy, the calculation gives -50.892 eV for the cell shown. Its symmetry is Cmc2_1. The calculation puts the excess energy over the best structure of this formula in the dataset at 0 meV per atom. Its crystal system is orthorhombic.

Geometry as extended XYZ:
```
10
Lattice="2.9223 -9.5301 0.0000 2.9223 9.5301 0.0000 0.0000 0.0000 6.0947" Properties=species:S:1:pos:R:3 pbc="T T T"
La 2.9223 8.6251 3.0474
La 2.9223 4.8138 2.6286
La 2.9223 1.1097 2.2763
La 2.9223 -1.1097 5.3237
La 2.9223 -4.8138 5.6759
La 2.9223 -8.6251 0.0000
Pm 2.9223 2.7204 5.3208
Pm 2.9223 -2.7204 2.2734
Sc 2.9223 6.7328 5.9824
Sc 2.9223 -6.7328 2.9350
```

---

Record 2
This record from Alexandria via LeMat-Bulk describes a relaxed La3PmSc2 crystal. The functional is PBE-GGA.

Calculated values
The formation enthalpy at 0 K is 0.243 eV/atom. For the total energy, the calculation gives -61.477 eV for the cell shown. Its symmetry is Cmcm. Its crystal system is orthorhombic.

Geometry as extended XYZ:
```
12
Lattice="7.3160 -5.0159 0.0000 7.3160 5.0159 0.0000 0.0000 0.0000 5.5124" Properties=species:S:1:pos:R:3 pbc="T T T"
La 3.4835 1.3446 1.3781
La 7.3160 3.9503 4.1343
La 3.4835 -1.3446 4.1343
La 11.1485 1.3446 1.3781
La 7.3160 -3.9503 1.3781
La 11.1485 -1.3446 4.1343
Pm 7.3160 2.3076 1.3781
Pm 7.3160 -2.3076 4.1343
Sc 5.8130 0.8721 4.1343
Sc 5.8130 -0.8721 1.3781
Sc 8.8190 0.8721 4.1343
Sc 8.8190 -0.8721 1.3781
```

---

Record 3
This record from Alexandria via LeMat-Bulk describes a relaxed LaPm15Sc4 crystal. The functional is PBE-GGA.

Calculated values
The formation enthalpy at 0 K is 0.035 eV/atom. For the total energy, the calculation gives -100.812 eV for the cell shown. Its symmetry is P4/mmm. Its crystal system is tetragonal.

Geometry as extended XYZ:
```
20
Lattice="5.0554 0.0000 0.0000 0.0000 5.0554 0.0000 0.0000 0.0000 25.2956" Properties=species:S:1:pos:R:3 pbc="T T T"
La 0.0000 0.0000 0.0000
Pm 0.0000 2.5277 2.6757
Pm 0.0000 2.5277 7.6621
Pm 0.0000 2.5277 12.6478
Pm 0.0000 2.5277 17.6335
Pm 0.0000 2.5277 22.6199
Pm 2.5277 0.0000 2.6757
Pm 2.5277 0.0000 7.6621
Pm 2.5277 0.0000 12.6478
Pm 2.5277 0.0000 17.6335
Pm 2.5277 0.0000 22.6199
Pm 2.5277 2.5277 0.0000
Pm 2.5277 2.5277 5.1947
Pm 2.5277 2.5277 10.1558
Pm 2.5277 2.5277 15.1398
Pm 2.5277 2.5277 20.1009
Sc 0.0000 0.0000 5.1624
Sc 0.0000 0.0000 10.1555
Sc 0.0000 0.0000 15.1401
Sc 0.0000 0.0000 20.1332
```